DFT (PBE+U) results for a geometry-optimized TiWO4 structure.

Cell and atoms, written as CIF:
```
data_TiWO4
_cell_length_a 3.126
_cell_length_b 4.703
_cell_length_c 14.159
_cell_angle_alpha 89.92
_cell_angle_beta 90.00
_cell_angle_gamma 90.00
_symmetry_space_group_name_H-M 'P 1'
_symmetry_Int_Tables_number 1
loop_
_symmetry_equiv_pos_as_xyz
'x,y,z'
loop_
_atom_site_label
_atom_site_fract_x
_atom_site_fract_y
_atom_site_fract_z
W1 0.000 0.000 0.000
W2 0.500 0.499 0.175
W3 0.500 0.501 0.825
O1 0.500 0.811 0.404
O2 0.500 0.793 0.069
O3 0.500 0.809 0.723
O4 0.000 0.688 0.563
O5 0.000 0.705 0.894
O6 0.000 0.708 0.243
O7 0.000 0.312 0.437
O8 0.000 0.295 0.106
O9 0.000 0.292 0.757
O10 0.500 0.189 0.596
O11 0.500 0.191 0.277
O12 0.500 0.207 0.931
Ti1 0.000 0.997 0.342
Ti2 0.000 0.003 0.658
Ti3 0.500 0.500 0.500
```

Output
Polymorph energy (0 for the lowest one): 0.0 meV/atom


DFT (PBE+U) results for a geometry-optimized TiW3O structure.

Cell and atoms, written as CIF:
```
data_TiW3O
_cell_length_a 4.254
_cell_length_b 4.254
_cell_length_c 4.254
_cell_angle_alpha 90.00
_cell_angle_beta 90.00
_cell_angle_gamma 90.00
_symmetry_space_group_name_H-M 'P 1'
_symmetry_Int_Tables_number 1
loop_
_symmetry_equiv_pos_as_xyz
'x,y,z'
loop_
_atom_site_label
_atom_site_fract_x
_atom_site_fract_y
_atom_site_fract_z
O1 0.000 0.000 0.000
W1 0.000 0.500 0.000
W2 0.000 0.000 0.500
W3 0.500 0.000 0.000
Ti1 0.500 0.500 0.500
```

Output
D(E_F): 2.70 states/eV per cell
Polymorph energy (0 for the lowest one): 0.0 meV/atom


DFT (PBE+U) results for a geometry-optimized Ti3WO structure.

Cell and atoms, written as CIF:
```
data_Ti3WO
_cell_length_a 4.812
_cell_length_b 4.812
_cell_length_c 4.812
_cell_angle_alpha 90.00
_cell_angle_beta 90.00
_cell_angle_gamma 90.00
_symmetry_space_group_name_H-M 'P 1'
_symmetry_Int_Tables_number 1
loop_
_symmetry_equiv_pos_as_xyz
'x,y,z'
loop_
_atom_site_label
_atom_site_fract_x
_atom_site_fract_y
_atom_site_fract_z
O1 0.500 0.500 0.500
W1 0.000 0.000 0.000
Ti1 0.000 0.500 0.000
Ti2 0.000 0.000 0.500
Ti3 0.500 0.000 0.000
```

Output
D(E_F): 11.80 states/eV per cell
Polymorph energy (0 for the lowest one): 2408.2 meV/atom


DFT (PBE+U) results for a geometry-optimized Ti3WO structure.

Cell and atoms, written as CIF:
```
data_Ti3WO
_cell_length_a 4.151
_cell_length_b 4.151
_cell_length_c 4.151
_cell_angle_alpha 90.00
_cell_angle_beta 90.00
_cell_angle_gamma 90.00
_symmetry_space_group_name_H-M 'P 1'
_symmetry_Int_Tables_number 1
loop_
_symmetry_equiv_pos_as_xyz
'x,y,z'
loop_
_atom_site_label
_atom_site_fract_x
_atom_site_fract_y
_atom_site_fract_z
O1 0.000 0.000 0.000
W1 0.500 0.500 0.500
Ti1 0.000 0.500 0.000
Ti2 0.000 0.000 0.500
Ti3 0.500 0.000 0.000
```

Output
D(E_F): 5.46 states/eV per cell
Polymorph energy (0 for the lowest one): 0.0 meV/atom


DFT (PBE+U) results for a geometry-optimized Ti2WO structure.

Cell and atoms, written as CIF:
```
data_Ti2WO
_cell_length_a 5.844
_cell_length_b 5.844
_cell_length_c 5.607
_cell_angle_alpha 58.60
_cell_angle_beta 58.60
_cell_angle_gamma 90.00
_symmetry_space_group_name_H-M 'P 1'
_symmetry_Int_Tables_number 1
loop_
_symmetry_equiv_pos_as_xyz
'x,y,z'
loop_
_atom_site_label
_atom_site_fract_x
_atom_site_fract_y
_atom_site_fract_z
O1 0.500 0.500 0.000
O2 0.250 0.750 0.500
W1 0.000 0.000 0.000
W2 0.750 0.250 0.500
Ti1 0.512 0.125 0.250
Ti2 0.238 0.625 0.250
Ti3 0.375 0.488 0.750
Ti4 0.875 0.762 0.750
```

Output
D(E_F): 7.51 states/eV per cell
Total energy: -7.49 eV/atom


DFT (PBE+U) results for a geometry-optimized Ti2WO structure.

Cell and atoms, written as CIF:
```
data_Ti2WO
_cell_length_a 2.829
_cell_length_b 2.829
_cell_length_c 8.243
_cell_angle_alpha 80.12
_cell_angle_beta 80.12
_cell_angle_gamma 60.00
_symmetry_space_group_name_H-M 'P 1'
_symmetry_Int_Tables_number 1
loop_
_symmetry_equiv_pos_as_xyz
'x,y,z'
loop_
_atom_site_label
_atom_site_fract_x
_atom_site_fract_y
_atom_site_fract_z
O1 0.500 0.500 0.500
W1 0.000 0.000 0.000
Ti1 0.109 0.109 0.673
Ti2 0.891 0.891 0.327
```

Output
D(E_F): 1.39 states/eV per cell
Total energy: -7.76 eV/atom


DFT (PBE+U) results for a geometry-optimized TiW2O structure.

Cell and atoms, written as CIF:
```
data_TiW2O
_cell_length_a 7.315
_cell_length_b 7.315
_cell_length_c 5.621
_cell_angle_alpha 49.40
_cell_angle_beta 49.40
_cell_angle_gamma 90.00
_symmetry_space_group_name_H-M 'P 1'
_symmetry_Int_Tables_number 1
loop_
_symmetry_equiv_pos_as_xyz
'x,y,z'
loop_
_atom_site_label
_atom_site_fract_x
_atom_site_fract_y
_atom_site_fract_z
O1 0.500 0.500 0.000
O2 0.250 0.750 0.500
W1 0.518 0.125 0.250
W2 0.232 0.625 0.250
W3 0.375 0.482 0.750
W4 0.875 0.768 0.750
Ti1 0.000 0.000 0.000
Ti2 0.750 0.250 0.500
```

Output
D(E_F): 3.98 states/eV per cell
Total energy: -6.64 eV/atom


DFT (PBE+U) results for a geometry-optimized YTiW2O8 structure.

Cell and atoms, written as CIF:
```
data_YTiW2O8
_cell_length_a 5.080
_cell_length_b 5.679
_cell_length_c 6.094
_cell_angle_alpha 106.58
_cell_angle_beta 88.93
_cell_angle_gamma 108.88
_symmetry_space_group_name_H-M 'P 1'
_symmetry_Int_Tables_number 1
loop_
_symmetry_equiv_pos_as_xyz
'x,y,z'
loop_
_atom_site_label
_atom_site_fract_x
_atom_site_fract_y
_atom_site_fract_z
Y1 0.504 0.107 0.739
O1 0.658 0.796 0.652
O2 0.780 0.274 0.465
O3 0.640 0.803 0.169
O4 0.817 0.381 0.040
O5 0.180 0.919 0.985
O6 0.268 0.393 0.785
O7 0.282 0.399 0.266
O8 0.131 0.867 0.393
W1 0.716 0.570 0.371
W2 0.227 0.609 0.053
Ti1 0.997 0.079 0.261
```

Output
Polymorph energy (0 for the lowest one): 130.7 meV/atom


DFT (PBE+U) results for a geometry-optimized YTiW2O8 structure.

Cell and atoms, written as CIF:
```
data_YTiW2O8
_cell_length_a 5.348
_cell_length_b 5.838
_cell_length_c 9.688
_cell_angle_alpha 88.62
_cell_angle_beta 87.60
_cell_angle_gamma 89.39
_symmetry_space_group_name_H-M 'P 1'
_symmetry_Int_Tables_number 1
loop_
_symmetry_equiv_pos_as_xyz
'x,y,z'
loop_
_atom_site_label
_atom_site_fract_x
_atom_site_fract_y
_atom_site_fract_z
Y1 0.254 0.344 0.743
Y2 0.746 0.656 0.257
Ti1 0.768 0.679 0.769
Ti2 0.232 0.321 0.231
W1 0.253 0.848 0.502
W2 0.260 0.841 0.997
W3 0.747 0.152 0.498
W4 0.740 0.159 0.003
O1 0.440 0.640 0.855
O2 0.059 0.652 0.644
O3 0.560 0.360 0.145
O4 0.941 0.348 0.356
O5 0.433 0.111 0.385
O6 0.085 0.103 0.119
O7 0.567 0.889 0.615
O8 0.915 0.897 0.881
O9 0.885 0.411 0.867
O10 0.626 0.377 0.618
O11 0.115 0.589 0.133
O12 0.374 0.623 0.382
O13 0.413 0.118 0.897
O14 0.587 0.882 0.103
O15 0.079 0.114 0.598
O16 0.921 0.886 0.402
```

Output
D(E_F): 0.00 states/eV per cell
Polymorph energy (0 for the lowest one): 0.0 meV/atom


DFT (PBE+U) results for a geometry-optimized Ti2ZnWO structure.

Cell and atoms, written as CIF:
```
data_Ti2ZnWO
_cell_length_a 5.080
_cell_length_b 3.819
_cell_length_c 5.080
_cell_angle_alpha 90.00
_cell_angle_beta 90.00
_cell_angle_gamma 90.00
_symmetry_space_group_name_H-M 'P 1'
_symmetry_Int_Tables_number 1
loop_
_symmetry_equiv_pos_as_xyz
'x,y,z'
loop_
_atom_site_label
_atom_site_fract_x
_atom_site_fract_y
_atom_site_fract_z
Zn1 0.500 0.500 0.500
O1 0.000 0.500 0.000
W1 0.000 0.000 0.000
Ti1 0.000 0.000 0.500
Ti2 0.500 0.000 0.000
```

Output
D(E_F): 6.21 states/eV per cell
Total energy: -5.33 eV/atom


How do the records compare in magnetic moment? In the order shown, they have 6.000, 3.025, 0.000, 0.008, 1.247, 0.000, 0.001, 3.000, 6.000, 1.376 Bohr magnetons per cell.
How do the records compare in density? In the order shown, they have 7.08, 13.28, 5.12, 7.97, 7.58, 8.76, 12.18, 6.61, 6.95, 6.08 g/cm³.